First-principles (GGA-PBE) data for Li9Mg2Al after structural relaxation, as listed in Alexandria.

Lattice parameters (Å, degrees): 9.6158 9.6158 2.8581 90.00 90.00 120.00
Last column: nearest neighbours and their distance in Å.
Positions (direct):
Li 0.0000 0.5000 0.0000  2 Mg 2.78, 2 Li 2.86
Li 0.1609 0.3218 0.5000  4 Li 2.68-2.86
Li 0.1609 0.8391 0.5000  4 Li 2.68-2.86
Li 0.3218 0.1609 0.5000  4 Li 2.68-2.86
Li 0.5000 0.0000 0.0000  2 Mg 2.78, 2 Li 2.86
Li 0.5000 0.5000 0.0000  2 Mg 2.78, 2 Li 2.86
Li 0.6782 0.8391 0.5000  4 Li 2.68-2.86
Li 0.8391 0.1609 0.5000  4 Li 2.68-2.86
Li 0.8391 0.6782 0.5000  4 Li 2.68-2.86
Mg 0.3333 0.6667 0.0000  3 Li 2.78, 2 Mg 2.86
Mg 0.6667 0.3333 0.0000  3 Li 2.78, 2 Mg 2.86
Al 0.0000 0.0000 0.0000  2 Al 2.86, 12 Li 3.04

Properties
Formation energy in eV/atom: -0.01
Calculated volume in Å³/cell: 228.9
Offset from the most stable computed form in meV/atom: 0
DOS at the Fermi energy in states/eV/atom: 0.482
Total magnetic moment in μB per formula unit: 0.00

***

First-principles (GGA-PBE) data for LiMgAl after structural relaxation, as listed in Alexandria.

Lattice parameters (Å, degrees): 6.8201 6.8201 6.8201 155.09 155.09 35.52
Last column: nearest neighbours and their distance in Å.
Positions (direct):
Li 0.0000 0.0000 0.0000  4 Al 2.87, 4 Li 2.94, 4 Mg 3.13
Mg 0.3198 0.3198 0.0000  4 Mg 2.94, 4 Al 3.01, 4 Li 3.13
Al 0.6520 0.6520 0.0000  4 Li 2.87, 4 Al 2.94, 4 Mg 3.01

Properties
Formation energy in eV/atom: -0.05
Calculated volume in Å³/cell: 56.2
Offset from the most stable computed form in meV/atom: 6
DOS at the Fermi energy in states/eV/atom: 0.444
Total magnetic moment in μB per formula unit: 0.00

***

First-principles (GGA-PBE) data for Li6MgAl2 after structural relaxation, as listed in Alexandria.

Lattice parameters (Å, degrees): 7.3090 7.3090 4.8942 103.57 103.57 42.75
Last column: nearest neighbours and their distance in Å.
Positions (direct):
Li 0.1427 0.6444 0.9511  4 Li 2.66-2.89, 2 Al 2.77-2.81
Li 0.2157 0.2157 0.6169  3 Al 2.77-3.05, 1 Mg 2.85, 2 Li 2.89
Li 0.3556 0.8573 0.0489  4 Li 2.66-2.89, 2 Al 2.77-2.81
Li 0.6444 0.1427 0.9511  4 Li 2.66-2.89, 2 Al 2.77-2.81
Li 0.7843 0.7843 0.3831  3 Al 2.77-3.05, 1 Mg 2.85, 2 Li 2.89
Li 0.8573 0.3556 0.0489  4 Li 2.66-2.89, 2 Al 2.77-2.81
Mg 0.0000 0.0000 0.5000  6 Li 2.85-3.02, 4 Al 2.99
Al 0.3969 0.3969 0.4574  1 Al 2.73, 7 Li 2.77-3.05, 2 Mg 2.99
Al 0.6031 0.6031 0.5426  1 Al 2.73, 7 Li 2.77-3.05, 2 Mg 2.99

Properties
Formation energy in eV/atom: -0.02
Calculated volume in Å³/cell: 171.8
Offset from the most stable computed form in meV/atom: 94
DOS at the Fermi energy in states/eV/atom: 0.265
Total magnetic moment in μB per formula unit: 0.00

***

First-principles (GGA-PBE) data for LiMgAl after structural relaxation, as listed in Alexandria.

Lattice parameters (Å, degrees): 5.0561 5.0561 5.0561 145.54 129.31 62.74
Last column: nearest neighbours and their distance in Å.
Positions (direct):
Li 0.0000 0.0000 0.0000  5 Mg 2.82-3.03, 5 Al 2.91-2.98, 2 Li 2.99
Mg 0.6739 0.6739 0.0000  5 Li 2.82-3.03, 5 Al 2.91-2.99, 2 Mg 2.99
Al 0.3372 0.3372 0.0000  5 Mg 2.91-2.99, 5 Li 2.91-2.98, 2 Al 2.99

Properties
Formation energy in eV/atom: -0.05
Calculated volume in Å³/cell: 56.0
Offset from the most stable computed form in meV/atom: 0
DOS at the Fermi energy in states/eV/atom: 0.385
Total magnetic moment in μB per formula unit: 0.00

***

First-principles (GGA-PBE) data for Li5Mg8Al after structural relaxation, as listed in Alexandria.

Lattice parameters (Å, degrees): 7.4077 7.4077 7.4077 112.55 112.55 103.47
Last column: nearest neighbours and their distance in Å.
Positions (direct):
Li 0.0000 0.0000 0.0000  4 Mg 2.75
Li 0.1964 0.6047 0.1709  8 Mg 2.95-3.16, 2 Li 3.05
Li 0.3953 0.5662 0.5917  8 Mg 2.95-3.16, 2 Li 3.05
Li 0.4338 0.0255 0.8291  8 Mg 2.95-3.16, 2 Li 3.05
Li 0.9745 0.8036 0.4083  8 Mg 2.95-3.16, 2 Li 3.05
Mg 0.0764 0.6725 0.7557  3 Li 2.75-2.98, 1 Al 2.76
Mg 0.1818 0.2858 0.7476  1 Al 2.90, 4 Li 3.01-3.14, 3 Mg 3.13-3.18
Mg 0.3275 0.0832 0.4038  3 Li 2.75-2.98, 1 Al 2.76
Mg 0.5382 0.4343 0.2524  1 Al 2.90, 4 Li 3.01-3.14, 3 Mg 3.13-3.18
Mg 0.5657 0.8182 0.1040  1 Al 2.90, 4 Li 3.01-3.14, 3 Mg 3.13-3.18
Mg 0.6793 0.9236 0.5962  3 Li 2.75-2.98, 1 Al 2.76
Mg 0.7142 0.4618 0.8960  1 Al 2.90, 4 Li 3.01-3.14, 3 Mg 3.13-3.18
Mg 0.9168 0.3207 0.2443  3 Li 2.75-2.98, 1 Al 2.76
Al 0.7500 0.2500 0.5000  8 Mg 2.76-2.90

Properties
Formation energy in eV/atom: 0.07
Calculated volume in Å³/cell: 310.4
DOS at the Fermi energy in states/eV/atom: 0.524
Total magnetic moment in μB per formula unit: 0.00

***

First-principles (GGA-PBE) data for Li2Mg6Al after structural relaxation, as listed in Alexandria.

Lattice parameters (Å, degrees): 6.0204 6.0204 9.0150 124.36 124.36 46.00
Last column: nearest neighbours and their distance in Å.
Positions (direct):
Li 0.1618 0.1618 0.3235  8 Mg 2.90-2.99
Li 0.8382 0.8382 0.6765  8 Mg 2.90-2.99
Mg 0.1589 0.1589 0.0001  2 Li 2.90, 2 Al 2.94, 4 Mg 3.10-3.15
Mg 0.1746 0.1746 0.6638  3 Li 2.93-2.98, 1 Al 2.96, 4 Mg 3.11-3.14
Mg 0.4892 0.4892 0.6638  3 Li 2.93-2.99, 1 Al 2.96, 4 Mg 3.11-3.15
Mg 0.5108 0.5108 0.3362  3 Li 2.93-2.99, 1 Al 2.96, 4 Mg 3.11-3.15
Mg 0.8254 0.8254 0.3362  3 Li 2.93-2.98, 1 Al 2.96, 4 Mg 3.11-3.14
Mg 0.8411 0.8411 0.9999  2 Li 2.90, 2 Al 2.94, 4 Mg 3.10-3.15
Al 0.5000 0.5000 0.0000  8 Mg 2.94-2.96

Properties
Formation energy in eV/atom: -0.03
Calculated volume in Å³/cell: 185.7
Offset from the most stable computed form in meV/atom: 0
DOS at the Fermi energy in states/eV/atom: 0.360
Total magnetic moment in μB per formula unit: 0.00

***

First-principles (GGA-PBE) data for Li2Mg2Al7 after structural relaxation, as listed in Alexandria.

Lattice parameters (Å, degrees): 6.5731 6.5731 5.0865 105.35 105.35 95.04
Last column: nearest neighbours and their distance in Å.
Positions (direct):
Li 0.2486 0.7514 0.0000  6 Al 2.68-2.86
Li 0.7514 0.2486 0.0000  6 Al 2.68-2.86
Mg 0.2143 0.2143 0.0751  8 Al 2.80-3.11, 2 Li 3.00
Mg 0.7857 0.7857 0.9249  8 Al 2.80-3.11, 2 Li 3.00
Al 0.0000 0.0000 0.5000  4 Al 2.71, 2 Mg 2.80
Al 0.0754 0.5934 0.3410  3 Al 2.61-2.74, 2 Li 2.68-2.79, 1 Mg 2.85
Al 0.4066 0.9246 0.6590  3 Al 2.61-2.74, 2 Li 2.68-2.79, 1 Mg 2.85
Al 0.4093 0.4093 0.6841  2 Li 2.86, 3 Mg 2.90-3.11, 6 Al 2.91-3.15
Al 0.5907 0.5907 0.3159  2 Li 2.86, 3 Mg 2.90-3.11, 6 Al 2.91-3.15
Al 0.5934 0.0754 0.3410  3 Al 2.61-2.74, 2 Li 2.68-2.79, 1 Mg 2.85
Al 0.9246 0.4066 0.6590  3 Al 2.61-2.74, 2 Li 2.68-2.79, 1 Mg 2.85

Properties
Formation energy in eV/atom: 0.05
Calculated volume in Å³/cell: 201.4
DOS at the Fermi energy in states/eV/atom: 0.219
Total magnetic moment in μB per formula unit: 0.00

***

First-principles (GGA-PBE) data for Li2MgAl after structural relaxation, as listed in Alexandria.

Lattice parameters (Å, degrees): 5.0947 5.0947 5.2372 96.98 96.98 33.17
Last column: nearest neighbours and their distance in Å.
Positions (direct):
Li 0.2435 0.2435 0.2314  6 Li 2.84-3.16, 3 Mg 2.91-3.08, 3 Al 2.92
Li 0.7565 0.7565 0.7686  6 Li 2.84-3.16, 3 Mg 2.91-3.08, 3 Al 2.92
Mg 0.0000 0.0000 0.5000  2 Mg 2.91, 6 Li 2.91-3.08, 4 Al 3.00
Al 0.5000 0.5000 0.0000  2 Al 2.91, 6 Li 2.92, 4 Mg 3.00

Properties
Formation energy in eV/atom: -0.06
Calculated volume in Å³/cell: 73.8
DOS at the Fermi energy in states/eV/atom: 0.339
Total magnetic moment in μB per formula unit: 0.00

***

First-principles (GGA-PBE) data for Li5Mg6Al after structural relaxation, as listed in Alexandria.

Lattice parameters (Å, degrees): 8.2740 8.2740 4.7119 106.47 106.47 118.30
Last column: nearest neighbours and their distance in Å.
Positions (direct):
Li 0.0000 0.0000 0.0000  8 Mg 2.93-2.95
Li 0.1660 0.8340 0.5000  8 Mg 2.93-2.96
Li 0.3381 0.6619 0.0000  8 Mg 2.92-2.99
Li 0.6619 0.3381 0.0000  8 Mg 2.92-2.99
Li 0.8340 0.1660 0.5000  8 Mg 2.93-2.96
Mg 0.0804 0.4153 0.2478  7 Li 2.93-2.99, 1 Al 2.97
Mg 0.2462 0.2462 0.7458  6 Li 2.92-2.93, 2 Al 2.96-2.97
Mg 0.4153 0.0804 0.2478  7 Li 2.93-2.99, 1 Al 2.97
Mg 0.5847 0.9196 0.7522  7 Li 2.93-2.99, 1 Al 2.97
Mg 0.7538 0.7538 0.2542  6 Li 2.92-2.93, 2 Al 2.96-2.97
Mg 0.9196 0.5847 0.7522  7 Li 2.93-2.99, 1 Al 2.97
Al 0.5000 0.5000 0.5000  8 Mg 2.96-2.97, 4 Li 3.29

Properties
Formation energy in eV/atom: -0.06
Calculated volume in Å³/cell: 236.6
DOS at the Fermi energy in states/eV/atom: 0.413
Total magnetic moment in μB per formula unit: 0.00

***

First-principles (GGA-PBE) data for Li8MgAl2 after structural relaxation, as listed in Alexandria.

Lattice parameters (Å, degrees): 7.5943 7.5943 5.2963 99.23 99.23 41.12
Last column: nearest neighbours and their distance in Å.
Positions (direct):
Li 0.0043 0.0043 0.2365  1 Li 2.49
Li 0.0596 0.5946 0.4156  2 Li 2.48-2.51, 1 Al 2.78
Li 0.3822 0.3822 0.9411  3 Al 2.85-2.88, 2 Mg 3.10-3.14, 4 Li 3.10-3.11
Li 0.4054 0.9404 0.5844  2 Li 2.48-2.51, 1 Al 2.78
Li 0.5946 0.0596 0.4156  2 Li 2.48-2.51, 1 Al 2.78
Li 0.6178 0.6178 0.0589  3 Al 2.85-2.88, 2 Mg 3.10-3.14, 4 Li 3.10-3.11
Li 0.9404 0.4054 0.5844  2 Li 2.48-2.51, 1 Al 2.78
Li 0.9957 0.9957 0.7635  1 Li 2.49
Mg 0.5000 0.5000 0.5000  12 Li 2.81-3.14
Al 0.1955 0.1955 0.0707  11 Li 2.78-3.06
Al 0.8045 0.8045 0.9293  11 Li 2.78-3.06

Properties
Formation energy in eV/atom: -0.03
Calculated volume in Å³/cell: 197.9
Offset from the most stable computed form in meV/atom: 0
DOS at the Fermi energy in states/eV/atom: 0.340
Total magnetic moment in μB per formula unit: 0.00

***

First-principles (GGA-PBE) data for Li2MgAl4 after structural relaxation, as listed in Alexandria.

Lattice parameters (Å, degrees): 7.7725 7.7725 7.7725 142.40 142.40 54.23
Last column: nearest neighbours and their distance in Å.
Positions (direct):
Li 0.1069 0.1069 0.0000  5 Al 2.70-2.91, 1 Li 2.96
Li 0.8931 0.8931 0.0000  5 Al 2.70-2.91, 1 Li 2.96
Mg 0.5000 0.5000 0.0000  6 Al 2.51-2.74
Al 0.0000 0.5000 0.5000  2 Mg 2.51
Al 0.3023 0.3023 0.0000  1 Li 2.70, 1 Mg 2.74
Al 0.5000 0.0000 0.5000  2 Mg 2.51
Al 0.6977 0.6977 0.0000  1 Li 2.70, 1 Mg 2.74

Properties
Formation energy in eV/atom: 0.60
Calculated volume in Å³/cell: 173.7
DOS at the Fermi energy in states/eV/atom: 0.374
Total magnetic moment in μB per formula unit: 0.00

***

- Which value of DOS at the Fermi energy does entry 9 give?
  0.413 states/eV/atom